No. 1
K2CoPb: relaxed, PBE.

```
data_K2CoPb
_chemical_formula_sum 'K4 Co2 Pb2'
_symmetry_space_group_name_H-M 'I m m 2'
_symmetry_Int_Tables_number 44
_symmetry_space_group_name_Hall 'I 2 -2'
_cell_length_a 4.291
_cell_length_b 5.993
_cell_length_c 10.972
_cell_angle_alpha 90.00
_cell_angle_beta 90.00
_cell_angle_gamma 90.00
loop_
_atom_site_label
_atom_site_fract_x
_atom_site_fract_y
_atom_site_fract_z
K1 0.000 0.000 0.000
K2 0.000 0.500 0.193
Co1 0.000 0.000 0.415
Pb1 0.000 0.500 0.789
```

***

No. 2
KCoPb2: relaxed, PBE.

```
data_KCoPb2
_chemical_formula_sum 'K1 Co1 Pb2'
_symmetry_space_group_name_H-M 'P 4/m m m'
_symmetry_Int_Tables_number 123
_symmetry_space_group_name_Hall '-P 4 2'
_cell_length_a 4.790
_cell_length_b 4.790
_cell_length_c 4.685
_cell_angle_alpha 90.00
_cell_angle_beta 90.00
_cell_angle_gamma 90.00
loop_
_atom_site_label
_atom_site_fract_x
_atom_site_fract_y
_atom_site_fract_z
K1 0.000 0.000 0.000
Co1 0.500 0.500 0.000
Pb1 0.000 0.500 0.500
```

***

No. 3
KCoPb4: relaxed, PBE.

```
data_KCoPb4
_chemical_formula_sum 'K4 Co4 Pb16'
_symmetry_space_group_name_H-M 'F -4 3 m'
_symmetry_Int_Tables_number 216
_symmetry_space_group_name_Hall 'F -4 2 3'
_cell_length_a 9.181
_cell_length_b 9.181
_cell_length_c 9.181
_cell_angle_alpha 90.00
_cell_angle_beta 90.00
_cell_angle_gamma 90.00
loop_
_atom_site_label
_atom_site_fract_x
_atom_site_fract_y
_atom_site_fract_z
K1 0.000 0.000 0.000
Co1 0.250 0.250 0.250
Pb1 0.124 0.124 0.624
```

***

no.,magnetic moment (μB/f.u.),formation energy (kJ/mol of atoms),density of states at the Fermi level (states/eV per cell)
1,1.48,39,11.86
2,1.75,59,4.31
3,2.06,48,19.30